No. 1
Entry from Alexandria: LiTaPt2 at its PBEsol-relaxed geometry (SCAN).

Cell lengths 2.760, 4.737, 4.871 Å; angles 97.59, 106.46, 90.00 degrees
Sites, in units of the cell vectors:
Ta1 0.487 0.462 0.974
Pt1 0.010 0.958 0.019
Pt2 0.743 0.282 0.486
Li1 0.261 0.798 0.521

* space group: No. 8
* total energy: -53.058 eV/atom
* total magnetic moment: 0.00 μB per cell
* calculated density: 15.868 g cm⁻³

=====

No. 2
Entry from Alexandria: LiTaPt2 at its PBEsol-relaxed geometry (SCAN).

Cell lengths 2.818, 3.332, 6.220 Å; angles 90.00, 90.00, 90.00 degrees
Sites, in units of the cell vectors:
Ta1 0.500 0.500 0.000
Pt1 0.000 0.000 0.732
Pt2 0.000 0.000 0.268
Li1 0.500 0.500 0.500

* space group: No. 47
* total energy: -53.093 eV/atom
* total magnetic moment: 0.00 μB per cell
* calculated density: 16.432 g cm⁻³

=====

No. 3
Entry from Alexandria: LiTaPt2 at its PBEsol-relaxed geometry (SCAN).

Cell lengths 2.772, 4.727, 4.727 Å; angles 105.62, 90.00, 90.00 degrees
Sites, in units of the cell vectors:
Ta1 0.500 0.000 0.000
Pt1 0.000 0.500 0.000
Pt2 0.000 0.000 0.500
Li1 0.500 0.500 0.500

* space group: No. 65
* total energy: -53.095 eV/atom
* total magnetic moment: 0.00 μB per cell
* calculated density: 16.087 g cm⁻³

=====

No. 4
Entry from Alexandria: LiTaPt2 at its PBEsol-relaxed geometry (SCAN).

Cell lengths 3.940, 3.940, 4.671 Å; angles 114.94, 114.94, 90.00 degrees
Sites, in units of the cell vectors:
Ta1 0.000 0.000 0.000
Pt1 0.750 0.250 0.500
Pt2 0.250 0.750 0.500
Li1 0.500 0.500 0.000

* space group: No. 139
* total energy: -53.169 eV/atom
* total magnetic moment: 0.00 μB per cell
* calculated density: 16.492 g cm⁻³

=====

No. 5
Entry from Alexandria: LiTaPt2 at its PBEsol-relaxed geometry (SCAN).

Cell lengths 2.762, 4.701, 4.701 Å; angles 90.00, 90.00, 90.00 degrees
Sites, in units of the cell vectors:
Ta1 0.500 0.500 0.500
Pt1 0.000 0.000 0.500
Pt2 0.000 0.500 0.000
Li1 0.500 0.000 0.000

* space group: No. 123
* total energy: -53.048 eV/atom
* total magnetic moment: 0.00 μB per cell
* calculated density: 15.726 g cm⁻³

=====

No. 6
Entry from Alexandria: LiTaPt2 at its PBEsol-relaxed geometry (SCAN).

Cell lengths 2.754, 4.556, 4.774 Å; angles 90.00, 90.00, 90.00 degrees
Sites, in units of the cell vectors:
Ta1 0.500 0.000 0.556
Pt1 0.000 0.000 0.071
Pt2 0.000 0.500 0.698
Li1 0.500 0.500 0.175

* space group: No. 25
* total energy: -53.108 eV/atom
* total magnetic moment: 0.00 μB per cell
* calculated density: 16.023 g cm⁻³

=====

No. 7
Entry from Alexandria: LiTaPt2 at its PBEsol-relaxed geometry (SCAN).

Cell lengths 3.792, 3.797, 4.875 Å; angles 112.92, 112.89, 90.01 degrees
Sites, in units of the cell vectors:
Ta1 0.500 0.500 0.000
Pt1 0.000 0.000 0.000
Pt2 0.750 0.250 0.500
Li1 0.250 0.750 0.500

* space group: No. 119
* total energy: -53.041 eV/atom
* total magnetic moment: 0.00 μB per cell
* calculated density: 16.384 g cm⁻³

=====

No. 8
Entry from Alexandria: LiTc2Pt at its PBEsol-relaxed geometry (SCAN).

Cell lengths 3.700, 4.151, 4.530 Å; angles 117.27, 114.10, 90.00 degrees
Sites, in units of the cell vectors:
Li1 0.503 0.503 0.006
Pt1 0.755 0.255 0.511
Tc1 0.982 0.982 0.963
Tc2 0.260 0.760 0.520

* space group: No. 44
* total energy: -35.745 eV/atom
* total magnetic moment: 0.00 μB per cell
* calculated density: 12.031 g cm⁻³

=====

No. 9
Entry from Alexandria: LiTc2Pt at its PBEsol-relaxed geometry (SCAN).

Cell lengths 2.618, 4.112, 5.123 Å; angles 90.00, 99.88, 90.00 degrees
Sites, in units of the cell vectors:
Li1 0.501 0.000 0.505
Pt1 0.335 0.500 0.725
Tc1 0.938 0.000 0.018
Tc2 0.725 0.500 0.252

* space group: No. 6
* total energy: -35.816 eV/atom
* total magnetic moment: 0.00 μB per cell
* calculated density: 12.164 g cm⁻³

=====

No. 10
Entry from Alexandria: Li2TePt at its PBEsol-relaxed geometry (SCAN).

Cell lengths 4.497, 4.497, 4.497 Å; angles 60.00, 60.00, 60.00 degrees
Sites, in units of the cell vectors:
Te1 0.250 0.250 0.250
Pt1 0.500 0.500 0.500
Li1 0.000 0.000 0.000
Li2 0.750 0.750 0.750

* space group: No. 216
* energy relative to the elements, uncorrected: -0.7426 eV/atom
* total magnetic moment: 0.00 μB per cell
* calculated density: 8.691 g cm⁻³

=====

No. 11
Entry from Alexandria: LiTePt at its PBEsol-relaxed geometry (SCAN).

Cell lengths 3.640, 3.640, 4.696 Å; angles 112.80, 112.80, 90.00 degrees
Sites, in units of the cell vectors:
Te1 0.672 0.672 0.344
Pt1 0.331 0.331 0.662
Li1 0.997 0.997 0.994

* space group: No. 107
* energy relative to the elements, uncorrected: -0.4631 eV/atom
* total magnetic moment: 0.00 μB per cell
* calculated density: 10.516 g cm⁻³

=====

No. 12
Entry from Alexandria: LiTePt at its PBEsol-relaxed geometry (SCAN).

Cell lengths 4.339, 4.339, 4.339 Å; angles 60.00, 60.00, 60.00 degrees
Sites, in units of the cell vectors:
Te1 0.000 0.000 0.000
Pt1 0.250 0.250 0.250
Li1 0.500 0.500 0.500

* space group: No. 216
* energy relative to the elements, uncorrected: -0.7887 eV/atom
* total magnetic moment: 0.00 μB per cell
* calculated density: 9.476 g cm⁻³

=====

No. 13
Entry from Alexandria: Li4TePt at its PBEsol-relaxed geometry (SCAN).

Cell lengths 5.003, 5.003, 5.003 Å; angles 60.00, 60.00, 60.00 degrees
Sites, in units of the cell vectors:
Li1 0.376 0.376 0.376
Li2 0.376 0.376 0.871
Li3 0.871 0.376 0.376
Li4 0.376 0.871 0.376
Pt1 0.750 0.750 0.750
Te1 0.000 0.000 0.000

* space group: No. 216
* energy relative to the elements, uncorrected: -0.3026 eV/atom
* total magnetic moment: 0.00 μB per cell
* calculated density: 6.570 g cm⁻³

=====

No. 14
Entry from Alexandria: Li3TePt at its PBEsol-relaxed geometry (SCAN).

Cell lengths 4.646, 4.646, 4.646 Å; angles 90.00, 90.00, 90.00 degrees
Each line ends with the local moment (μB).
Sites, in units of the cell vectors:
Te1 0.500 0.500 0.500  0.26
Pt1 0.000 0.000 0.000  0.23
Li1 0.000 0.500 0.000  0.00
Li2 0.000 0.000 0.500  0.00
Li3 0.500 0.000 0.000  0.00

* space group: No. 221
* energy relative to the elements, uncorrected: -0.3181 eV/atom
* total magnetic moment: 0.61 μB per cell
* calculated density: 5.688 g cm⁻³

=====

No. 15
Entry from Alexandria: Li2TePt2 at its PBEsol-relaxed geometry (SCAN).

Cell lengths 2.913, 7.326, 7.326 Å; angles 90.00, 90.00, 90.00 degrees
Sites, in units of the cell vectors:
Te1 0.000 0.000 0.000
Te2 0.000 0.500 0.500
Pt1 0.000 0.327 0.827
Pt2 0.000 0.827 0.673
Pt3 0.000 0.673 0.173
Pt4 0.000 0.173 0.327
Li1 0.500 0.124 0.624
Li2 0.500 0.624 0.876
Li3 0.500 0.876 0.376
Li4 0.500 0.376 0.124

* space group: No. 127
* energy relative to the elements, uncorrected: -0.4873 eV/atom
* total magnetic moment: 0.00 μB per cell
* calculated density: 11.293 g cm⁻³

=====

No. 16
Entry from Alexandria: LiThPt2 at its PBEsol-relaxed geometry (SCAN).

Cell lengths 4.784, 4.784, 4.784 Å; angles 60.00, 60.00, 60.00 degrees
Sites, in units of the cell vectors:
Th1 0.000 0.000 0.000
Pt1 0.750 0.750 0.750
Pt2 0.250 0.250 0.250
Li1 0.500 0.500 0.500

* space group: No. 225
* total energy: -60.692 eV/atom
* total magnetic moment: 0.00 μB per cell
* calculated density: 13.494 g cm⁻³

=====

No. 17
Entry from Alexandria: Li2TiPt2 at its PBEsol-relaxed geometry (SCAN).

Cell lengths 2.738, 7.134, 7.134 Å; angles 90.00, 90.00, 90.00 degrees
Sites, in units of the cell vectors:
Li1 0.500 0.118 0.618
Li2 0.500 0.618 0.882
Li3 0.500 0.882 0.382
Li4 0.500 0.382 0.118
Pt1 0.000 0.320 0.820
Pt2 0.000 0.820 0.680
Pt3 0.000 0.680 0.180
Pt4 0.000 0.180 0.320
Ti1 0.000 0.000 0.000
Ti2 0.000 0.500 0.500

* space group: No. 127
* total energy: -32.865 eV/atom
* total magnetic moment: 0.00 μB per cell
* calculated density: 10.771 g cm⁻³

=====

No. 18
Entry from Alexandria: LiTlPt4 at its PBEsol-relaxed geometry (SCAN).

Cell lengths 5.284, 5.284, 5.284 Å; angles 60.00, 60.00, 60.00 degrees
Sites, in units of the cell vectors:
Tl1 0.750 0.750 0.750
Pt1 0.375 0.375 0.375
Pt2 0.375 0.375 0.875
Pt3 0.875 0.375 0.375
Pt4 0.375 0.875 0.375
Li1 0.000 0.000 0.000

* space group: No. 216
* total energy: -59.535 eV/atom
* total magnetic moment: 0.00 μB per cell
* calculated density: 15.781 g cm⁻³

=====

No. 19
Entry from Alexandria: LiTlPt2 at its PBEsol-relaxed geometry (SCAN).

Cell lengths 3.998, 3.998, 4.900 Å; angles 114.08, 114.08, 90.00 degrees
Sites, in units of the cell vectors:
Li1 0.250 0.750 0.500
Pt1 0.000 0.000 0.000
Pt2 0.750 0.250 0.500
Tl1 0.500 0.500 0.000

* space group: No. 119
* total energy: -54.054 eV/atom
* total magnetic moment: 0.00 μB per cell
* calculated density: 15.608 g cm⁻³

=====

No. 20
Entry from Alexandria: Li3TlPt at its PBEsol-relaxed geometry (SCAN).

Cell lengths 4.682, 4.682, 4.682 Å; angles 90.00, 90.00, 90.00 degrees
Sites, in units of the cell vectors:
Tl1 0.500 0.500 0.500
Pt1 0.000 0.000 0.000
Li1 0.000 0.500 0.000
Li2 0.000 0.000 0.500
Li3 0.500 0.000 0.000

* space group: No. 221
* total energy: -30.122 eV/atom
* total magnetic moment: 0.00 μB per cell
* calculated density: 6.798 g cm⁻³